<one>
First-principles (PBE-GGA) data for a geometry-optimized RbIrPb3 structure, as listed in Alexandria via LeMat-Bulk.

Computed properties:
DOS(E_F) (states/eV/f.u.): 4.82
Magnetization (Bohr magnetons per cell): 1.68

Lattice parameters (Å, degrees): 5.5104 5.5104 5.5104 90.00 90.00 90.00
With the nearest neighbours (Å) after each atom.
Space group Pm-3m (No. 221)
Unique sites:
Rb  0.0000  0.0000  0.0000 (multiplicity 1)  12 Pb 3.90
Ir  0.5000  0.5000  0.5000 (multiplicity 1)  6 Pb 2.76
Pb  0.0000  0.5000  0.5000 (multiplicity 3)  2 Ir 2.76

<two>
First-principles (PBE-GGA) data for a geometry-optimized RbIrPb3 structure, as listed in Alexandria via LeMat-Bulk.

Computed properties:
DOS(E_F) (states/eV/f.u.): 9.31
Magnetization (Bohr magnetons per cell): 1.24

Lattice parameters (Å, degrees): 5.9214 5.9214 5.9214 90.00 90.00 90.00
With the nearest neighbours (Å) after each atom.
Space group Pm-3m (No. 221)
Unique sites:
Rb  0.0000  0.0000  0.0000 (multiplicity 1)  6 Pb 2.96
Ir  0.5000  0.5000  0.5000 (multiplicity 1)  12 Pb 4.19
Pb  0.0000  0.0000  0.5000 (multiplicity 3)  2 Rb 2.96

Result of the stability comparison: <one> is the most stable of them.

<one>
First-principles (PBE-GGA) data for a geometry-optimized ReIr3Pb structure, as listed in Alexandria via LeMat-Bulk.

Computed properties:
DOS(E_F) (states/eV/f.u.): 16.19
Magnetization (Bohr magnetons per cell): 0.00

Lattice parameters (Å, degrees): 4.8450 4.8450 4.8450 90.00 90.00 90.00
With the nearest neighbours (Å) after each atom.
Space group Pm-3m (No. 221)
Unique sites:
Re  0.0000  0.0000  0.0000 (multiplicity 1)  12 Ir 3.43
Ir  0.0000  0.5000  0.5000 (multiplicity 3)  2 Pb 2.42
Pb  0.5000  0.5000  0.5000 (multiplicity 1)  6 Ir 2.42

<two>
First-principles (PBE-GGA) data for a geometry-optimized ReIr3Pb structure, as listed in Alexandria via LeMat-Bulk.

Computed properties:
DOS(E_F) (states/eV/f.u.): 4.96
Magnetization (Bohr magnetons per cell): 0.00

Lattice parameters (Å, degrees): 4.8099 4.8099 4.8099 90.00 90.00 90.00
With the nearest neighbours (Å) after each atom.
Space group Pm-3m (No. 221)
Unique sites:
Re  0.0000  0.0000  0.0000 (multiplicity 1)  6 Ir 2.40
Ir  0.0000  0.0000  0.5000 (multiplicity 3)  2 Re 2.40
Pb  0.5000  0.5000  0.5000 (multiplicity 1)  12 Ir 3.40

Result of the stability comparison: <two> is the most stable of them.

<one>
First-principles (PBE-GGA) data for a geometry-optimized ReIrPb structure, as listed in Alexandria via LeMat-Bulk.

Computed properties:
DOS(E_F) (states/eV/f.u.): 2.67
Magnetization (Bohr magnetons per cell): 0.00

Lattice parameters (Å, degrees): 6.2343 6.2343 6.2343 90.00 90.00 90.00
With the nearest neighbours (Å) after each atom.
Space group F-43m (No. 216)
Unique sites:
Re  0.0000  0.0000  0.0000 (multiplicity 4)  4 Ir 2.70
Ir  0.2500  0.2500  0.7500 (multiplicity 4)  4 Pb 2.70, 4 Re 2.70
Pb  0.0000  0.0000  0.5000 (multiplicity 4)  4 Ir 2.70

<two>
First-principles (PBE-GGA) data for a geometry-optimized ReIrPb structure, as listed in Alexandria via LeMat-Bulk.

Computed properties:
DOS(E_F) (states/eV/f.u.): 1.55
Magnetization (Bohr magnetons per cell): 0.00

Lattice parameters (Å, degrees): 2.9839 2.9839 12.5255 90.00 90.00 90.00
With the nearest neighbours (Å) after each atom.
Space group I4mm (No. 107)
Unique sites:
Re  0.0000  0.0000  0.0000 (multiplicity 2)  4 Ir 2.61
Ir  0.0000  0.0000  0.3772 (multiplicity 2)  4 Re 2.61
Pb  0.0000  0.0000  0.6845 (multiplicity 2)  4 Pb 2.98, 4 Re 3.13, 4 Ir 3.21

Result of the stability comparison: <two> is the most stable of them.

<one>
First-principles (PBE-GGA) data for a geometry-optimized ReIr2Pb2 structure, as listed in Alexandria via LeMat-Bulk.

Computed properties:
DOS(E_F) (states/eV/f.u.): 3.16
Magnetization (Bohr magnetons per cell): 0.00

Lattice parameters (Å, degrees): 7.9115 7.9115 3.0257 90.00 90.00 90.00
With the nearest neighbours (Å) after each atom.
Space group P4/mbm (No. 127)
Unique sites:
Re  0.0000  0.0000  0.0000 (multiplicity 2)  4 Pb 3.01, 2 Re 3.03
Ir  0.1487  0.3513  0.5000 (multiplicity 4)  6 Pb 2.70-2.82
Pb  0.1514  0.6514  0.0000 (multiplicity 4)  6 Ir 2.70-2.82, 2 Re 3.01

<two>
First-principles (PBE-GGA) data for a geometry-optimized ReIr2Pb2 structure, as listed in Alexandria via LeMat-Bulk.

Computed properties:
DOS(E_F) (states/eV/f.u.): 5.05
Magnetization (Bohr magnetons per cell): 0.00

Lattice parameters (Å, degrees): 3.5123 3.5123 16.9452 90.00 90.00 90.00
With the nearest neighbours (Å) after each atom.
Space group I4/mmm (No. 139)
Unique sites:
Re  0.0000  0.0000  0.0000 (multiplicity 2)  8 Pb 2.99
Ir  0.0000  0.5000  0.2500 (multiplicity 4)  4 Ir 2.48
Pb  0.0000  0.0000  0.4019 (multiplicity 4)  4 Re 2.99, 4 Ir 3.12, 1 Pb 3.33

Result of the stability comparison: <two> is the most stable of them.

<one>
First-principles (PBE-GGA) data for a geometry-optimized IrRhPb structure, as listed in Alexandria via LeMat-Bulk.

Computed properties:
DOS(E_F) (states/eV/f.u.): 4.60
Magnetization (Bohr magnetons per cell): 3.56

Lattice parameters (Å, degrees): 6.2621 6.2621 6.2621 90.00 90.00 90.00
With the nearest neighbours (Å) after each atom.
Space group F-43m (No. 216)
Unique sites:
Ir  0.0000  0.0000  0.0000 (multiplicity 4)  4 Pb 2.71, 4 Rh 2.71
Rh  0.2500  0.2500  0.2500 (multiplicity 4)  4 Ir 2.71
Pb  0.2500  0.2500  0.7500 (multiplicity 4)  4 Ir 2.71

<two>
First-principles (PBE-GGA) data for a geometry-optimized IrRhPb structure, as listed in Alexandria via LeMat-Bulk.

Computed properties:
DOS(E_F) (states/eV/f.u.): 5.66
Magnetization (Bohr magnetons per cell): 0.01

Lattice parameters (Å, degrees): 2.9957 4.0976 8.5540 90.00 90.00 90.00
With the nearest neighbours (Å) after each atom.
Space group Imm2 (No. 44)
Unique sites:
Ir  0.0000  0.0000  0.0000 (multiplicity 2)  5 Pb 2.79-2.94, 5 Rh 2.85-2.98, 2 Ir 3.00
Rh  0.0000  0.0000  0.6515 (multiplicity 2)  5 Pb 2.78-2.95, 5 Ir 2.85-2.98, 2 Rh 3.00
Pb  0.0000  0.0000  0.3262 (multiplicity 2)  5 Rh 2.78-2.95, 5 Ir 2.79-2.94, 2 Pb 3.00

<three>
First-principles (PBE-GGA) data for a geometry-optimized IrRhPb structure, as listed in Alexandria via LeMat-Bulk.

Computed properties:
DOS(E_F) (states/eV/f.u.): 5.75
Magnetization (Bohr magnetons per cell): 0.01

Lattice parameters (Å, degrees): 4.5111 4.5111 3.0123 90.00 90.00 120.00
With the nearest neighbours (Å) after each atom.
Space group P3m1 (No. 156)
Unique sites:
Ir  0.0000  0.0000  0.0000 (multiplicity 1)  3 Pb 2.74, 3 Rh 2.90, 2 Ir 3.01
Rh  0.3333  0.6667  0.5753 (multiplicity 1)  3 Pb 2.75, 3 Ir 2.90, 2 Rh 3.01
Pb  0.6667  0.3333  0.2848 (multiplicity 1)  3 Ir 2.74, 3 Rh 2.75, 2 Pb 3.01

<four>
First-principles (PBE-GGA) data for a geometry-optimized IrRhPb structure, as listed in Alexandria via LeMat-Bulk.

Computed properties:
DOS(E_F) (states/eV/f.u.): 4.55
Magnetization (Bohr magnetons per cell): 1.65

Lattice parameters (Å, degrees): 3.0874 3.0874 11.2564 90.00 90.00 90.00
With the nearest neighbours (Å) after each atom.
Space group I4mm (No. 107)
Unique sites:
Ir  0.0000  0.0000  0.0000 (multiplicity 2)  4 Rh 2.71, 4 Pb 2.97
Rh  0.0000  0.0000  0.6424 (multiplicity 2)  4 Ir 2.71, 4 Pb 2.97
Pb  0.0000  0.0000  0.3209 (multiplicity 2)  4 Rh 2.97, 4 Ir 2.97, 4 Pb 3.09

Result of the stability comparison: <one> is the most stable of them.

<one>
First-principles (PBE-GGA) data for a geometry-optimized Ir2PbS2 structure, as listed in Alexandria via LeMat-Bulk.

Computed properties:
DOS(E_F) (states/eV/f.u.): 1.86
Magnetization (Bohr magnetons per cell): 0.00

Lattice parameters (Å, degrees): 4.4643 4.4643 9.1692 90.00 90.00 90.00
With the nearest neighbours (Å) after each atom.
Space group I4/mmm (No. 139)
Unique sites:
Ir  0.0000  0.0000  0.1559 (multiplicity 4)  4 S 2.39
Pb  0.0000  0.0000  0.5000 (multiplicity 2)  10 Ir 3.15-3.47, 8 S 3.20
S  0.0000  0.5000  0.2500 (multiplicity 4)  4 Ir 2.39

<two>
First-principles (PBE-GGA) data for a geometry-optimized Ir2PbS2 structure, as listed in Alexandria via LeMat-Bulk.

Computed properties:
DOS(E_F) (states/eV/f.u.): 3.31
Magnetization (Bohr magnetons per cell): 0.00

Lattice parameters (Å, degrees): 7.6804 7.6804 3.0545 90.00 90.00 90.00
With the nearest neighbours (Å) after each atom.
Space group P4/mbm (No. 127)
Unique sites:
Ir  0.1225  0.3775  0.0000 (multiplicity 4)  4 S 2.51, 1 Ir 2.66
Pb  0.0000  0.0000  0.0000 (multiplicity 2)  4 Ir 3.05, 2 Pb 3.05, 8 S 3.35
S  0.1359  0.6359  0.5000 (multiplicity 4)  4 Ir 2.51

Result of the stability comparison: <one> is the most stable of them.